Record 1
Compound: La2GePb
Source: Alexandria
Functional: PBE-GGA
Structure: optimized geometry

a b c (Å): 4.3338 6.3975 9.5517
angles (deg): 112.49 90.00 90.00
Closest atoms and distances in Å follow each position.
Positions (direct):
La (0.7500, 0.2205, 0.4423)  3 Ge 3.19-3.20, 3 Pb 3.37-3.49
La (0.2500, 0.7795, 0.5577)  3 Ge 3.19-3.20, 3 Pb 3.37-3.49
La (0.2500, 0.7652, 0.0793)  2 Ge 3.18, 4 Pb 3.32-3.47
La (0.7500, 0.2348, 0.9207)  2 Ge 3.18, 4 Pb 3.32-3.47
Ge (0.7500, 0.6798, 0.2952)  2 Pb 3.01, 5 La 3.18-3.20
Ge (0.2500, 0.3202, 0.7048)  2 Pb 3.01, 5 La 3.18-3.20
Pb (0.2500, 0.3258, 0.2076)  2 Ge 3.01, 5 La 3.32-3.37
Pb (0.7500, 0.6742, 0.7924)  2 Ge 3.01, 5 La 3.32-3.37

Output
**Density of states at the Fermi level**: 7.55 states/eV/cell
**E_form**: -0.70 eV/atom


Record 2
Compound: LaGePb2
Source: Alexandria
Functional: PBE-GGA
Structure: optimized geometry

a b c (Å): 3.6350 3.6350 11.2214
angles (deg): 80.68 80.68 60.00
Closest atoms and distances in Å follow each position.
Positions (direct):
Pb (0.1000, 0.1000, 0.6999)  3 Ge 3.04, 1 La 3.31
Pb (0.9000, 0.9000, 0.3001)  3 Ge 3.04, 1 La 3.31
Ge (0.5000, 0.5000, 0.5000)  6 Pb 3.04
La (0.0000, 0.0000, 0.0000)  2 Pb 3.31, 6 La 3.64

Output
**Density of states at the Fermi level**: 3.08 states/eV/cell
**E_form**: 0.17 eV/atom


Record 3
Compound: La2GePb
Source: Alexandria
Functional: PBE-GGA
Structure: optimized geometry

a b c (Å): 8.4892 8.4892 6.9933
angles (deg): 52.63 52.63 90.00
Closest atoms and distances in Å follow each position.
Positions (direct):
Pb (0.0000, 0.0000, 0.0000)  4 La 3.29, 2 Ge 3.59
Pb (0.7500, 0.2500, 0.5000)  4 La 3.29, 2 Ge 3.59
Ge (0.5000, 0.5000, 0.0000)  4 La 2.98
Ge (0.2500, 0.7500, 0.5000)  4 La 2.98
La (0.5985, 0.1250, 0.2500)  2 Ge 2.98, 2 Pb 3.29
La (0.1515, 0.6250, 0.2500)  2 Ge 2.98, 2 Pb 3.29
La (0.3750, 0.4015, 0.7500)  2 Ge 2.98, 2 Pb 3.29
La (0.8750, 0.8485, 0.7500)  2 Ge 2.98, 2 Pb 3.29

Output
**Density of states at the Fermi level**: 6.55 states/eV/cell
**E_form**: -0.45 eV/atom


Record 4
Compound: La2GePb2
Source: Alexandria
Functional: PBE-GGA
Structure: optimized geometry

a b c (Å): 8.0535 8.0535 4.7877
angles (deg): 90.00 90.00 90.00
Closest atoms and distances in Å follow each position.
Positions (direct):
Pb (0.3660, 0.8660, 0.0000)  1 Pb 3.05, 2 Ge 3.14, 2 La 3.24
Pb (0.8660, 0.6340, 0.0000)  1 Pb 3.05, 2 Ge 3.14, 2 La 3.24
Pb (0.6340, 0.1340, 0.0000)  1 Pb 3.05, 2 Ge 3.14, 2 La 3.24
Pb (0.1340, 0.3660, 0.0000)  1 Pb 3.05, 2 Ge 3.14, 2 La 3.24
Ge (0.0000, 0.0000, 0.0000)  4 Pb 3.14
Ge (0.5000, 0.5000, 0.0000)  4 Pb 3.14
La (0.1745, 0.6745, 0.5000)  6 Pb 3.24-3.47
La (0.6745, 0.8255, 0.5000)  6 Pb 3.24-3.47
La (0.8255, 0.3255, 0.5000)  6 Pb 3.24-3.47
La (0.3255, 0.1745, 0.5000)  6 Pb 3.24-3.47

Output
**Density of states at the Fermi level**: 5.04 states/eV/cell
**Energy above the lowest structure with this stoichiometry**: 0.00 kJ per mole of atoms
**E_form**: -0.47 eV/atom


Record 5
Compound: La2GePd6Pb
Source: Alexandria
Functional: PBE-GGA
Structure: optimized geometry

a b c (Å): 6.5359 7.0437 7.0401
angles (deg): 46.78 81.87 101.32
Closest atoms and distances in Å follow each position.
Positions (direct):
La (0.7321, 0.2460, 0.5125)  5 Pd 2.95-3.25
La (0.2679, 0.7540, 0.4875)  5 Pd 2.95-3.25
Ge (0.5000, 0.5000, 0.0000)  6 Pd 2.51-2.53
Pd (0.2934, 0.2802, 0.4809)  1 Ge 2.53, 1 Pb 2.75, 3 Pd 2.76-2.83
Pd (0.9199, 0.7472, 0.8270)  1 Ge 2.51, 1 Pb 2.78
Pd (0.2943, 0.7746, 0.9870)  1 Ge 2.52, 1 Pb 2.75, 1 Pd 2.76
Pd (0.7057, 0.2254, 0.0130)  1 Ge 2.52, 1 Pb 2.75, 1 Pd 2.76
Pd (0.0801, 0.2527, 0.1730)  1 Ge 2.51, 1 Pb 2.78
Pd (0.7066, 0.7198, 0.5191)  1 Ge 2.53, 1 Pb 2.75, 3 Pd 2.76-2.83
Pb (0.0000, 0.0000, 0.0000)  6 Pd 2.75-2.78

Output
**Density of states at the Fermi level**: 4.24 states/eV/cell
**E_form**: -0.62 eV/atom


Record 6
Compound: La2Ge3Pt4Pb
Source: Alexandria
Functional: PBE-GGA
Structure: optimized geometry

a b c (Å): 4.3891 4.3891 10.9493
angles (deg): 90.00 90.00 90.00
Closest atoms and distances in Å follow each position.
Positions (direct):
La (0.5000, 0.0000, 0.2368)  8 Pt 3.32-3.40, 6 Ge 3.36-3.62, 2 Pb 3.62
La (0.0000, 0.5000, 0.7632)  8 Pt 3.32-3.40, 6 Ge 3.36-3.62, 2 Pb 3.62
Ge (0.0000, 0.0000, 0.5000)  4 Pt 2.79, 4 Pb 3.10
Ge (0.5000, 0.0000, 0.8801)  5 Pt 2.45-2.56
Ge (0.0000, 0.5000, 0.1199)  5 Pt 2.45-2.56
Pt (0.5000, 0.5000, 0.0000)  4 Ge 2.56
Pt (0.0000, 0.0000, 0.0000)  4 Ge 2.56
Pt (0.5000, 0.0000, 0.6567)  1 Ge 2.45
Pt (0.0000, 0.5000, 0.3433)  1 Ge 2.45
Pb (0.5000, 0.5000, 0.5000)  4 Pt 2.79, 4 Ge 3.10

Output
**Density of states at the Fermi level**: 7.28 states/eV/cell
**E_form**: -0.85 eV/atom


Record 7
Compound: LaPuGePb
Source: Alexandria
Functional: PBE-GGA
Structure: optimized geometry

a b c (Å): 5.3997 5.3997 5.3997
angles (deg): 60.00 60.00 60.00
Closest atoms and distances in Å follow each position.
Positions (direct):
Pb (0.2500, 0.2500, 0.2500)  4 La 3.31, 4 Pu 3.31
Ge (0.7500, 0.7500, 0.7500)  4 La 3.31, 4 Pu 3.31
La (0.0000, 0.0000, 0.0000)  4 Ge 3.31, 4 Pb 3.31
Pu (0.5000, 0.5000, 0.5000)  4 Ge 3.31, 4 Pb 3.31

Output
**Density of states at the Fermi level**: 11.67 states/eV/cell
**E_form**: -0.32 eV/atom


Record 8
Compound: La2Ge3Rh4Pb
Source: Alexandria
Functional: PBE-GGA
Structure: optimized geometry

a b c (Å): 4.3165 4.3165 10.7605
angles (deg): 90.00 90.00 90.00
Closest atoms and distances in Å follow each position.
Positions (direct):
La (0.5000, 0.0000, 0.2443)  8 Rh 3.24-3.40, 6 Ge 3.33-3.50, 2 Pb 3.50
La (0.0000, 0.5000, 0.7557)  8 Rh 3.24-3.40, 6 Ge 3.33-3.50, 2 Pb 3.50
Ge (0.0000, 0.0000, 0.5000)  4 Rh 2.72
Ge (0.5000, 0.0000, 0.8805)  5 Rh 2.44-2.51
Ge (0.0000, 0.5000, 0.1195)  5 Rh 2.44-2.51
Rh (0.5000, 0.5000, 0.0000)  4 Ge 2.51
Rh (0.0000, 0.0000, 0.0000)  4 Ge 2.51
Rh (0.5000, 0.0000, 0.6540)  3 Ge 2.44-2.72, 2 Pb 2.72
Rh (0.0000, 0.5000, 0.3460)  3 Ge 2.44-2.72, 2 Pb 2.72
Pb (0.5000, 0.5000, 0.5000)  4 Rh 2.72

Output
**Density of states at the Fermi level**: 8.16 states/eV/cell
**E_form**: -0.76 eV/atom